Record 1
# Ce2MgTi2Rh5 PBE optimized geometry
# Formation enthalpy at 0 K in eV per atom: -0.531
# Crystal system: tetragonal
data_Ce2MgTi2Rh5
_chemical_formula_sum 'Ce4 Mg2 Ti4 Rh10'
_cell_length_a 10.690
_cell_length_b 10.690
_cell_length_c 3.107
_cell_angle_alpha 90.00
_cell_angle_beta 90.00
_cell_angle_gamma 90.00
_symmetry_space_group_name_H-M 'P 4/m b m'
_symmetry_Int_Tables_number 127
_symmetry_space_group_name_Hall '-P 4 2ab'
loop_
_atom_site_label
_atom_site_type_symbol
_atom_site_fract_x
_atom_site_fract_y
_atom_site_fract_z
_atom_site_occupancy
Ce1 Ce 0.178 0.322 0.000 1
Mg1 Mg 0.000 0.000 0.000 1
Ti1 Ti 0.137 0.637 0.000 1
Rh1 Rh 0.000 0.500 0.500 1
Rh2 Rh 0.043 0.797 0.500 1


Record 2
# Ce2MgZn2Rh5 PBE optimized geometry
# Formation enthalpy at 0 K in eV per atom: -0.562
# Crystal system: tetragonal
data_Ce2MgZn2Rh5
_chemical_formula_sum 'Ce4 Mg2 Zn4 Rh10'
_cell_length_a 9.689
_cell_length_b 9.689
_cell_length_c 3.692
_cell_angle_alpha 90.00
_cell_angle_beta 90.00
_cell_angle_gamma 90.00
_symmetry_space_group_name_H-M 'P 4/m b m'
_symmetry_Int_Tables_number 127
_symmetry_space_group_name_Hall '-P 4 2ab'
loop_
_atom_site_label
_atom_site_type_symbol
_atom_site_fract_x
_atom_site_fract_y
_atom_site_fract_z
_atom_site_occupancy
Ce1 Ce 0.176 0.324 0.000 1
Mg1 Mg 0.000 0.000 0.000 1
Zn1 Zn 0.122 0.622 0.000 1
Rh1 Rh 0.000 0.500 0.500 1
Rh2 Rh 0.080 0.798 0.500 1


Record 3
# CeMgZnRh PBE optimized geometry
# Formation enthalpy at 0 K in eV per atom: -0.392
# Crystal system: cubic
data_CeMgZnRh
_chemical_formula_sum 'Ce4 Mg4 Zn4 Rh4'
_cell_length_a 6.792
_cell_length_b 6.792
_cell_length_c 6.792
_cell_angle_alpha 90.00
_cell_angle_beta 90.00
_cell_angle_gamma 90.00
_symmetry_space_group_name_H-M 'F -4 3 m'
_symmetry_Int_Tables_number 216
_symmetry_space_group_name_Hall 'F -4 2 3'
loop_
_atom_site_label
_atom_site_type_symbol
_atom_site_fract_x
_atom_site_fract_y
_atom_site_fract_z
_atom_site_occupancy
Ce1 Ce 0.000 0.000 0.000 1
Mg1 Mg 0.000 0.000 0.500 1
Zn1 Zn 0.250 0.250 0.250 1
Rh1 Rh 0.250 0.250 0.750 1


Record 4
# Ce5MgRu6 PBE optimized geometry
# Formation enthalpy at 0 K in eV per atom: -0.168
# Crystal system: monoclinic
data_Ce5MgRu6
_chemical_formula_sum 'Ce10 Mg2 Ru12'
_cell_length_a 8.359
_cell_length_b 11.027
_cell_length_c 6.310
_cell_angle_alpha 90.00
_cell_angle_beta 116.03
_cell_angle_gamma 90.00
_symmetry_space_group_name_H-M 'C 1 2/m 1'
_symmetry_Int_Tables_number 12
loop_
_symmetry_equiv_pos_as_xyz
'x,y,z'
'-x,-y,-z'
'-x,y,-z'
'x,-y,z'
'x+1/2,y+1/2,z'
'-x+1/2,-y+1/2,-z'
'-x+1/2,y+1/2,-z'
'x+1/2,-y+1/2,z'
loop_
_atom_site_label
_atom_site_type_symbol
_atom_site_fract_x
_atom_site_fract_y
_atom_site_fract_z
_atom_site_occupancy
Ce1 Ce 0.000 0.000 0.000 1
Ce2 Ce 0.000 0.174 0.500 1
Ce3 Ce 0.000 0.344 0.000 1
Mg1 Mg 0.000 0.500 0.500 1
Ru1 Ru 0.211 0.149 0.335 1
Ru2 Ru 0.216 0.500 0.261 1


Record 5
# Ce2MgRu PBE optimized geometry
# Formation enthalpy at 0 K in eV per atom: -0.163
# Crystal system: monoclinic
data_Ce2MgRu
_chemical_formula_sum 'Ce4 Mg2 Ru2'
_cell_length_a 5.750
_cell_length_b 3.945
_cell_length_c 9.329
_cell_angle_alpha 90.00
_cell_angle_beta 99.77
_cell_angle_gamma 90.00
_symmetry_space_group_name_H-M 'P 1 21/m 1'
_symmetry_Int_Tables_number 11
loop_
_symmetry_equiv_pos_as_xyz
'x,y,z'
'-x,-y,-z'
'-x,y+1/2,-z'
'x,-y+1/2,z'
loop_
_atom_site_label
_atom_site_type_symbol
_atom_site_fract_x
_atom_site_fract_y
_atom_site_fract_z
_atom_site_occupancy
Ce1 Ce 0.183 0.250 0.142 1
Ce2 Ce 0.297 0.250 0.757 1
Mg1 Mg 0.255 0.750 0.459 1
Ru1 Ru 0.309 0.750 0.956 1


Record 6
# Ce5MgRu5 PBE optimized geometry
# Formation enthalpy at 0 K in eV per atom: -0.181
# Crystal system: monoclinic
data_Ce5MgRu5
_chemical_formula_sum 'Ce10 Mg2 Ru10'
_cell_length_a 11.785
_cell_length_b 5.288
_cell_length_c 8.511
_cell_angle_alpha 90.00
_cell_angle_beta 110.84
_cell_angle_gamma 90.00
_symmetry_space_group_name_H-M 'C 1 2/m 1'
_symmetry_Int_Tables_number 12
loop_
_symmetry_equiv_pos_as_xyz
'x,y,z'
'-x,-y,-z'
'-x,y,-z'
'x,-y,z'
'x+1/2,y+1/2,z'
'-x+1/2,-y+1/2,-z'
'-x+1/2,y+1/2,-z'
'x+1/2,-y+1/2,z'
loop_
_atom_site_label
_atom_site_type_symbol
_atom_site_fract_x
_atom_site_fract_y
_atom_site_fract_z
_atom_site_occupancy
Ce1 Ce 0.000 0.000 0.000 1
Ce2 Ce 0.175 0.500 0.346 1
Ce3 Ce 0.175 0.500 0.831 1
Mg1 Mg 0.000 0.000 0.500 1
Ru1 Ru 0.000 0.500 0.500 1
Ru2 Ru 0.130 0.000 0.308 1
Ru3 Ru 0.140 0.000 0.826 1


Record 7
# Ce2MgRu PBE optimized geometry
# Formation enthalpy at 0 K in eV per atom: -0.141
# Crystal system: tetragonal
data_Ce2MgRu
_chemical_formula_sum 'Ce2 Mg1 Ru1'
_cell_length_a 3.640
_cell_length_b 3.640
_cell_length_c 7.174
_cell_angle_alpha 90.00
_cell_angle_beta 90.00
_cell_angle_gamma 90.00
_symmetry_space_group_name_H-M 'P 4/m m m'
_symmetry_Int_Tables_number 123
_symmetry_space_group_name_Hall '-P 4 2'
loop_
_atom_site_label
_atom_site_type_symbol
_atom_site_fract_x
_atom_site_fract_y
_atom_site_fract_z
_atom_site_occupancy
Ce1 Ce 0.000 0.000 0.208 1
Mg1 Mg 0.500 0.500 0.500 1
Ru1 Ru 0.500 0.500 0.000 1


Record 8
# Ce5MgRu6 PBE optimized geometry
# Formation enthalpy at 0 K in eV per atom: -0.292
# Crystal system: triclinic
data_Ce5MgRu6
_chemical_formula_sum 'Ce5 Mg1 Ru6'
_cell_length_a 4.661
_cell_length_b 6.715
_cell_length_c 8.313
_cell_angle_alpha 113.76
_cell_angle_beta 101.44
_cell_angle_gamma 90.11
_symmetry_space_group_name_H-M 'P -1'
_symmetry_Int_Tables_number 2
loop_
_symmetry_equiv_pos_as_xyz
'x,y,z'
'-x,-y,-z'
loop_
_atom_site_label
_atom_site_type_symbol
_atom_site_fract_x
_atom_site_fract_y
_atom_site_fract_z
_atom_site_occupancy
Ce1 Ce 0.000 0.000 0.000 1
Ce2 Ce 0.373 0.345 0.690 1
Ce3 Ce 0.375 0.823 0.646 1
Mg1 Mg 0.000 0.500 0.000 1
Ru1 Ru 0.107 0.407 0.319 1
Ru2 Ru 0.108 0.911 0.318 1
Ru3 Ru 0.499 0.234 0.000 1


Record 9
# Ce2MgRu PBE optimized geometry
# Formation enthalpy at 0 K in eV per atom: -0.192
# Crystal system: monoclinic
data_Ce2MgRu
_chemical_formula_sum 'Ce8 Mg4 Ru4'
_cell_length_a 10.138
_cell_length_b 7.148
_cell_length_c 5.254
_cell_angle_alpha 90.00
_cell_angle_beta 103.03
_cell_angle_gamma 90.00
_symmetry_space_group_name_H-M 'P 1 21/c 1'
_symmetry_Int_Tables_number 14
loop_
_symmetry_equiv_pos_as_xyz
'x,y,z'
'-x,-y,-z'
'-x,y+1/2,-z+1/2'
'x,-y+1/2,z+1/2'
loop_
_atom_site_label
_atom_site_type_symbol
_atom_site_fract_x
_atom_site_fract_y
_atom_site_fract_z
_atom_site_occupancy
Ce1 Ce 0.095 0.086 0.292 1
Ce2 Ce 0.357 0.631 0.897 1
Mg1 Mg 0.358 0.130 0.902 1
Ru1 Ru 0.146 0.643 0.312 1


Record 10
# Ce2Mg17Ru4 PBE optimized geometry
# Formation enthalpy at 0 K in eV per atom: -0.183
# Crystal system: tetragonal
data_Ce2Mg17Ru4
_chemical_formula_sum 'Ce4 Mg34 Ru8'
_cell_length_a 9.885
_cell_length_b 9.885
_cell_length_c 10.054
_cell_angle_alpha 90.00
_cell_angle_beta 90.00
_cell_angle_gamma 90.00
_symmetry_space_group_name_H-M 'I -4 2 m'
_symmetry_Int_Tables_number 121
_symmetry_space_group_name_Hall 'I -4 2'
loop_
_atom_site_label
_atom_site_type_symbol
_atom_site_fract_x
_atom_site_fract_y
_atom_site_fract_z
_atom_site_occupancy
Ce1 Ce 0.000 0.000 0.147 1
Mg1 Mg 0.000 0.000 0.500 1
Mg2 Mg 0.000 0.325 0.000 1
Mg3 Mg 0.053 0.295 0.310 1
Mg4 Mg 0.217 0.217 0.570 1
Ru1 Ru 0.167 0.167 0.836 1


Record 11
# Ce3Mg4Ru4 PBE optimized geometry
# Formation enthalpy at 0 K in eV per atom: -0.200
# Crystal system: orthorhombic
data_Ce3Mg4Ru4
_chemical_formula_sum 'Ce6 Mg8 Ru8'
_cell_length_a 3.405
_cell_length_b 8.521
_cell_length_c 15.543
_cell_angle_alpha 90.00
_cell_angle_beta 90.00
_cell_angle_gamma 90.00
_symmetry_space_group_name_H-M 'I m m m'
_symmetry_Int_Tables_number 71
_symmetry_space_group_name_Hall '-I 2 2'
loop_
_atom_site_label
_atom_site_type_symbol
_atom_site_fract_x
_atom_site_fract_y
_atom_site_fract_z
_atom_site_occupancy
Ce1 Ce 0.000 0.000 0.000 1
Ce2 Ce 0.000 0.500 0.101 1
Mg1 Mg 0.000 0.320 0.323 1
Ru1 Ru 0.000 0.000 0.278 1
Ru2 Ru 0.000 0.263 0.500 1


Record 12
# Ce4MgRu4 PBE optimized geometry
# Formation enthalpy at 0 K in eV per atom: -0.189
# Crystal system: tetragonal
data_Ce4MgRu4
_chemical_formula_sum 'Ce8 Mg2 Ru8'
_cell_length_a 8.724
_cell_length_b 8.724
_cell_length_c 5.341
_cell_angle_alpha 90.00
_cell_angle_beta 90.00
_cell_angle_gamma 90.00
_symmetry_space_group_name_H-M 'I 4/m'
_symmetry_Int_Tables_number 87
_symmetry_space_group_name_Hall '-I 4'
loop_
_atom_site_label
_atom_site_type_symbol
_atom_site_fract_x
_atom_site_fract_y
_atom_site_fract_z
_atom_site_occupancy
Ce1 Ce 0.085 0.696 0.000 1
Mg1 Mg 0.000 0.000 0.500 1
Ru1 Ru 0.106 0.716 0.500 1